No. 1
VASP calculation (PBE-GGA) on a geometry-optimized Ce4Ga12Pd structure.

Its total moment is 0.5 μB per formula unit. The value obtained for the energy is -4.445 eV/atom.

The space group is Im-3m (No. 229) and the conventional cell measures 8.741, 8.741 and 8.741 Å, with angles of 90.00, 90.00 and 90.00 degrees. The distinct sites, in fractional coordinates, are Ce at (0.250, 0.250, 0.250), Ga at (0.000, 0.000, 0.298), Ga at (0.000, 0.250, 0.500) and Pd at (0.000, 0.000, 0.000).

***

No. 2
VASP calculation (PBE-GGA) on a geometry-optimized Cs4K4O structure.

Its total moment is 0.0 μB per formula unit. The value obtained for the energy is -1.722 eV/atom.

The space group is P4_2/n (No. 86, origin choice 2) and the conventional cell measures 12.693, 12.693 and 9.439 Å, with angles of 90.00, 90.00 and 90.00 degrees. The distinct sites, in fractional coordinates, are Cs at (0.044, 0.752, 0.119), K at (0.087, 0.249, 0.387) and O at (0.250, 0.250, 0.250).

***

No. 3
VASP calculation (PBE-GGA) on a geometry-optimized Te2IrSe structure.

Its total moment is 0.0 μB per formula unit. The value obtained for the energy is -4.090 eV/atom.

The space group is P4/mmm (No. 123) and the conventional cell measures 5.080, 5.080 and 3.238 Å, with angles of 90.00, 90.00 and 90.00 degrees. The distinct sites, in fractional coordinates, are Te at (0.000, 0.500, 0.000), Ir at (0.000, 0.000, 0.500) and Se at (0.500, 0.500, 0.500).

***

No. 4
VASP calculation (PBE-GGA) on a geometry-optimized NdTe2Ir structure.

Its total moment is 0.0 μB per formula unit. The value obtained for the energy is -5.193 eV/atom.

The space group is R-3m (No. 166, hexagonal axes) and the conventional cell measures 4.0066, 4.0066 and 27.1769 Å, with angles of 90.00, 90.00 and 120.00 degrees. The distinct sites, in fractional coordinates, are Nd at (0.0000, 0.0000, 0.0000), Te at (0.0000, 0.0000, 0.1168) and Ir at (0.0000, 0.0000, 0.5000).

***

Copy entry 4 word for word.
VASP calculation (PBE-GGA) on a geometry-optimized NdTe2Ir structure.

Its total moment is 0.0 μB per formula unit. The value obtained for the energy is -5.193 eV/atom.

The space group is R-3m (No. 166, hexagonal axes) and the conventional cell measures 4.0066, 4.0066 and 27.1769 Å, with angles of 90.00, 90.00 and 120.00 degrees. The distinct sites, in fractional coordinates, are Nd at (0.0000, 0.0000, 0.0000), Te at (0.0000, 0.0000, 0.1168) and Ir at (0.0000, 0.0000, 0.5000).

***

Question: Look up the total moment of the fourth one.
Answer: 0.0 μB per formula unit

***

Question: What is the energy in the first record?
Answer: -4.445 eV/atom